[1]
Here is a geometry-optimized KCaFe2Pd structure from the Alexandria database. Energies are from PBE-GGA.

Cell lengths 4.794, 4.794, 5.496 Å; angles 90.00, 90.00, 90.00 degrees
Space group P4/mmm (No. 123)
Symmetry-distinct sites (fractional):
K 0.000 0.000 0.000 x1
Ca 0.000 0.000 0.500 x1
Fe 0.000 0.500 0.500 x2
Pd 0.500 0.500 0.000 x1

Total energy in eV/atom: -3.3493
Crystal system: tetragonal
Calculated formation energy in eV/f.u.: 8.47

---

[2]
Here is a geometry-optimized Ca2In5Au3 structure from the Alexandria database. Energies are from PBE-GGA.

Cell lengths 12.530, 12.583, 6.340 Å; angles 90.00, 90.00, 90.00 degrees
Space group Ibam (No. 72)
Symmetry-distinct sites (fractional):
Ca 0.134 0.237 0.000 x8
In 0.000 0.000 0.250 x4
In 0.105 0.351 0.500 x8
In 0.243 0.500 0.250 x8
Au 0.000 0.500 0.250 x4
Au 0.129 0.139 0.500 x8

Total energy in eV/atom: -3.1737
Crystal system: orthorhombic
Calculated formation energy in eV/f.u.: -4.21
Energy above the lowest structure with this stoichiometry in meV per atom: 67

---

[3]
Here is a geometry-optimized ZrCrB structure from the Alexandria database. Energies are from PBE-GGA.

Cell lengths 4.246, 3.074, 6.230 Å; angles 90.00, 99.67, 90.00 degrees
Space group P2_1/m (No. 11)
Symmetry-distinct sites (fractional):
Zr 0.212 0.250 0.345 x2
Cr 0.352 0.250 0.871 x2
B 0.113 0.750 0.027 x2

Total energy in eV/atom: -8.6740
Crystal system: monoclinic
Calculated formation energy in eV/f.u.: -1.17
Energy above the lowest structure with this stoichiometry in meV per atom: 51

---

[4]
Here is a geometry-optimized Y4Co2Pd structure from the Alexandria database. Energies are from PBE-GGA.

Cell lengths 11.225, 8.194, 7.532 Å; angles 90.00, 109.69, 90.00 degrees
Space group Cm (No. 8)
Symmetry-distinct sites (fractional):
Y 0.000 0.000 0.000 x2
Y 0.001 0.500 0.011 x2
Y 0.212 0.259 0.357 x4
Y 0.228 0.272 0.855 x4
Y 0.493 0.000 0.481 x2
Y 0.494 0.500 0.496 x2
Co 0.275 0.500 0.630 x2
Co 0.293 0.500 0.146 x2
Co 0.433 0.263 0.213 x4
Pd 0.275 0.000 0.121 x2
Pd 0.284 0.000 0.649 x2

Total energy in eV/atom: -6.7963
Crystal system: monoclinic
Calculated formation energy in eV/f.u.: -2.31

---

[5]
Here is a geometry-optimized Th4MnSe3 structure from the Alexandria database. Energies are from PBE-GGA.

Cell lengths 5.965, 5.965, 11.765 Å; angles 90.00, 90.00, 90.00 degrees
Space group I4/mmm (No. 139)
Symmetry-distinct sites (fractional):
Th 0.000 0.000 0.225 x4
Th 0.000 0.500 0.000 x4
Mn 0.000 0.000 0.000 x2
Se 0.000 0.000 0.500 x2
Se 0.000 0.500 0.250 x4

Total energy in eV/atom: -7.2706
Crystal system: tetragonal
Formation energy from raw total energies in eV/atom: -1.11

---

[6]
Here is a geometry-optimized Ag2PPbCl structure from the Alexandria database. Energies are from PBE-GGA.

Cell lengths 4.656, 4.656, 6.047 Å; angles 90.00, 90.00, 90.00 degrees
Space group P4/mmm (No. 123)
Symmetry-distinct sites (fractional):
Ag 0.000 0.500 0.000 x2
P 0.000 0.000 0.000 x1
Pb 0.500 0.500 0.500 x1
Cl 0.000 0.000 0.500 x1

Total energy in eV/atom: -3.1572
Crystal system: tetragonal
Formation energy from raw total energies in eV/atom: 0.18

---

[7]
Here is a geometry-optimized NaIn9Cu3 structure from the Alexandria database. Energies are from PBE-GGA.

Cell lengths 5.552, 15.855, 7.247 Å; angles 90.00, 107.97, 90.00 degrees
Space group C2/m (No. 12)
Symmetry-distinct sites (fractional):
Na 0.000 0.000 0.000 x2
In 0.000 0.000 0.500 x2
In 0.072 0.392 0.214 x8
In 0.129 0.186 0.324 x8
Cu 0.000 0.500 0.500 x2
Cu 0.250 0.250 0.000 x4

Total energy in eV/atom: -2.8947
Crystal system: monoclinic
Calculated formation energy in eV/f.u.: 0.62

---

[8]
Here is a geometry-optimized Tm3SiI3 structure from the Alexandria database. Energies are from PBE-GGA.

Cell lengths 7.0662, 7.0662, 34.1499 Å; angles 90.00, 90.00, 120.00 degrees
Space group R-3 (No. 148, hexagonal axes)
Symmetry-distinct sites (fractional):
Tm 0.0000 0.3373 0.4559 x18
Si 0.0000 0.0000 0.1667 x6
I 0.0000 0.3319 0.6030 x18

Total energy in eV/atom: -4.3862
Crystal system: trigonal
Formation energy from raw total energies in eV/atom: -1.03

---

[9]
Here is a geometry-optimized Na2InSn structure from the Alexandria database. Energies are from PBE-GGA.

Cell lengths 5.0969, 5.0969, 10.2229 Å; angles 90.00, 90.00, 120.00 degrees
Space group P-3m1 (No. 164)
Symmetry-distinct sites (fractional):
Na 0.3333 0.6667 0.0568 x2
Na 0.3333 0.6667 0.4054 x2
In 0.3333 0.6667 0.7311 x2
Sn 0.0000 0.0000 0.1631 x2

Total energy in eV/atom: -2.4742
Crystal system: trigonal
Calculated formation energy in eV/f.u.: -0.52

---

[10]
Here is a geometry-optimized KCdPb2 structure from the Alexandria database. Energies are from PBE-GGA.

Cell lengths 3.6468, 3.6468, 33.6585 Å; angles 90.00, 90.00, 120.00 degrees
Space group R-3m (No. 166, hexagonal axes)
Symmetry-distinct sites (fractional):
K 0.0000 0.0000 0.0000 x3
Cd 0.0000 0.0000 0.5000 x3
Pb 0.0000 0.0000 0.2412 x6

Total energy in eV/atom: -2.2973
Crystal system: trigonal
Calculated formation energy in eV/f.u.: 0.24

---

[11]
Here is a geometry-optimized NaSr2Re2 structure from the Alexandria database. Energies are from PBE-GGA.

Cell lengths 9.327, 9.327, 3.195 Å; angles 90.00, 90.00, 90.00 degrees
Space group P4/mbm (No. 127)
Symmetry-distinct sites (fractional):
Na 0.000 0.000 0.000 x2
Sr 0.196 0.304 0.500 x4
Re 0.085 0.585 0.000 x4

Total energy in eV/atom: -5.0133
Crystal system: tetragonal
Calculated formation energy in eV/f.u.: 4.51
Energy above the lowest structure with this stoichiometry in meV per atom: 0

---

[12]
Here is a geometry-optimized KLaMn structure from the Alexandria database. Energies are from PBE-GGA.

Cell lengths 7.620, 7.620, 7.620 Å; angles 90.00, 90.00, 90.00 degrees
Space group F-43m (No. 216)
Symmetry-distinct sites (fractional):
K 0.000 0.000 0.000 x4
La 0.000 0.000 0.500 x4
Mn 0.250 0.250 0.750 x4

Total energy in eV/atom: -4.0966
Crystal system: cubic
Calculated formation energy in eV/f.u.: 2.90
Energy above the lowest structure with this stoichiometry in meV per atom: 430

---

> The highest total energy belongs to which entry?

KCdPb2

---

> total energy of number 7 (NaIn9Cu3)?

-2.8947 eV/atom

---

> Which value of total energy does entry 5 give?

-7.2706 eV/atom